(1)
DFT (PBE-GGA) results for an optimized crystal structure of Sm4AsC.

a = 8.5294 Å, b = 8.5294 Å, c = 6.3306 Å
α = 111.12°, β = 111.12°, γ = 112.60°
Element x y z (fractional)
Sm  0.0407  0.6516  0.8799
Sm  0.1733  0.2679  0.6692
Sm  0.2679  0.1733  0.1692
Sm  0.3484  0.9593  0.6201
Sm  0.6516  0.0407  0.3799
Sm  0.7321  0.8267  0.8308
Sm  0.8267  0.7321  0.3308
Sm  0.9593  0.3484  0.1201
As  0.3736  0.6264  0.2500
As  0.6264  0.3736  0.7500
C  0.0738  0.9262  0.2500
C  0.9262  0.0738  0.7500

Values from the calculation:
The crystal system is monoclinic. The formation energy from the elements comes out at -263.4 kJ/mol of formula units.

(2)
DFT (PBE-GGA) results for an optimized crystal structure of Tl4HgRh.

a = 6.1948 Å, b = 6.1948 Å, c = 6.1948 Å
α = 60.00°, β = 60.00°, γ = 60.00°
Element x y z (fractional)
Tl  0.3755  0.3755  0.3755
Tl  0.3755  0.3755  0.8734
Tl  0.3755  0.8734  0.3755
Tl  0.8734  0.3755  0.3755
Hg  0.0000  0.0000  0.0000
Rh  0.7500  0.7500  0.7500

Values from the calculation:
The crystal system is cubic. The formation energy from the elements comes out at 319.9 kJ/mol of formula units.

(3)
DFT (PBE-GGA) results for an optimized crystal structure of Nd2Dy6Th3.

a = 6.1895 Å, b = 6.1895 Å, c = 11.3559 Å
α = 90.00°, β = 90.00°, γ = 120.00°
Element x y z (fractional)
Nd  0.3333  0.6667  0.0000
Nd  0.6667  0.3333  0.0000
Dy  0.0000  0.3296  0.7444
Dy  0.0000  0.6704  0.2556
Dy  0.3296  0.0000  0.7444
Dy  0.3296  0.3296  0.2556
Dy  0.6704  0.0000  0.2556
Dy  0.6704  0.6704  0.7444
Th  0.0000  0.0000  0.5000
Th  0.3333  0.6667  0.5000
Th  0.6667  0.3333  0.5000

Values from the calculation:
The crystal system is trigonal. The formation energy from the elements comes out at 162.5 kJ/mol of formula units.

(4)
DFT (PBE-GGA) results for an optimized crystal structure of AcPa2N.

a = 9.1646 Å, b = 9.1646 Å, c = 9.1646 Å
α = 22.03°, β = 22.03°, γ = 22.03°
Element x y z (fractional)
Ac  0.0000  0.0000  0.0000
Pa  0.2189  0.2189  0.2189
Pa  0.7811  0.7811  0.7811
N  0.5000  0.5000  0.5000

Values from the calculation:
The crystal system is trigonal. The calculation puts the uncorrected formation energy at -486 meV per atom.

Q: Which formula does entry 1 have?
A: Sm4AsC

Copy entry 1 word for word.
DFT (PBE-GGA) results for an optimized crystal structure of Sm4AsC.

a = 8.5294 Å, b = 8.5294 Å, c = 6.3306 Å
α = 111.12°, β = 111.12°, γ = 112.60°
Element x y z (fractional)
Sm  0.0407  0.6516  0.8799
Sm  0.1733  0.2679  0.6692
Sm  0.2679  0.1733  0.1692
Sm  0.3484  0.9593  0.6201
Sm  0.6516  0.0407  0.3799
Sm  0.7321  0.8267  0.8308
Sm  0.8267  0.7321  0.3308
Sm  0.9593  0.3484  0.1201
As  0.3736  0.6264  0.2500
As  0.6264  0.3736  0.7500
C  0.0738  0.9262  0.2500
C  0.9262  0.0738  0.7500

Values from the calculation:
The crystal system is monoclinic. The formation energy from the elements comes out at -263.4 kJ/mol of formula units.